NaTaAs2 | PBE-GGA | optimized geometry Values from VASP.

Cell and atoms, written as Quantum ESPRESSO input:
```
&SYSTEM
  ibrav = 0, nat = 16, ntyp = 3
/
ATOMIC_SPECIES
Na 22.99 Na.upf
Ta 180.95 Ta.upf
As 74.92 As.upf
ATOMIC_POSITIONS angstrom
Na 0.000 0.000 0.000
Na 0.000 3.311 2.748
Na 3.311 0.000 8.243
Na 3.311 3.311 5.496
Ta 0.000 0.000 5.496
Ta 0.000 3.311 8.243
Ta 3.311 0.000 2.748
Ta 3.311 3.311 0.000
As 1.216 1.656 6.870
As 1.656 4.528 9.617
As 1.656 5.407 4.122
As 2.095 1.656 1.374
As 4.528 4.967 1.374
As 4.967 1.216 4.122
As 4.967 2.095 9.617
As 5.407 4.967 6.870
CELL_PARAMETERS angstrom
6.623 0.000 0.000
0.000 6.623 0.000
0.000 0.000 10.991
```

Output
V ... 30.1 Å³ per atom
Mass density ... 4874 kg/m3
Polymorph energy (0 for the lowest one) ... 292.2 meV per atom
E_form ... -104 meV/atom
DOS at the Fermi energy ... 0.0 states/eV/cell
Space group ... I-42d, No. 122